# CsKMgH4 (PBE-GGA, relaxed)
data_CsKMgH4
_cell_length_a 5.904
_cell_length_b 14.383
_cell_length_c 5.888
_cell_angle_alpha 90.00
_cell_angle_beta 90.00
_cell_angle_gamma 90.00
_space_group_name_H-M_alt 'C m c m'
_space_group_IT_number 63
_space_group_name_Hall '-C 2c 2'
loop_
_atom_site_label
_atom_site_fract_x
_atom_site_fract_y
_atom_site_fract_z
Cs1 0.000 0.097 0.250
K1 0.000 0.381 0.250
Mg1 0.000 0.251 0.750
H1 0.000 0.116 0.750
H2 0.000 0.390 0.750
H3 0.250 0.250 0.000
# DFT total energy, eV/cell: -74.59
# Magnetic moment, μB per formula unit: 0.0
# Theoretical density, g cm⁻³: 2.66